Density functional theory data (PBE-GGA) for SrTiGe2 after structural relaxation.

Calculated values
- total DFT energy (no corrections) (eV/cell) = -77.22
- formation enthalpy at 0 K (meV per atom) = -123.6

Cell lengths 5.300, 5.300, 16.711 Å; angles 90.00, 90.00, 90.00 degrees
Space group I-42d (No. 122)
Unique sites:
1 Sr 0.000 0.000 0.000
2 Ti 0.000 0.000 0.500
3 Ge 0.074 0.250 0.625


Density functional theory data (PBE-GGA) for MgBeMo2 after structural relaxation.

Calculated values
- total DFT energy (no corrections) (eV/cell) = -52.07
- distance to the lowest polymorph of the same formula (kcal/mol of atoms) = 0.91
- formation enthalpy at 0 K (meV per atom) = 236.9

Cell lengths 3.273, 4.335, 8.503 Å; angles 90.00, 90.00, 90.00 degrees
Space group Cmm2 (No. 35)
Unique sites:
1 Mg 0.000 0.000 0.000
2 Be 0.000 0.500 0.755
3 Mo 0.000 0.000 0.542
4 Mo 0.000 0.500 0.281


Density functional theory data (PBE-GGA) for SrSi3PtRh after structural relaxation.

Calculated values
- total DFT energy (no corrections) (eV/cell) = -139.09

Cell lengths 6.433, 12.952, 5.898 Å; angles 90.00, 90.00, 90.00 degrees
Space group Cmcm (No. 63)
Unique sites:
1 Sr 0.000 0.232 0.250
2 Si 0.000 0.220 0.750
3 Si 0.216 0.500 0.000
4 Pt 0.000 0.394 0.750
5 Rh 0.000 0.051 0.750


Density functional theory data (PBE-GGA) for AgAs2F2 after structural relaxation.

Calculated values
- total DFT energy (no corrections) (eV/cell) = -36.64
- distance to the lowest polymorph of the same formula (kcal/mol of atoms) = 0.00

Cell lengths 6.569, 6.569, 3.892 Å; angles 90.00, 90.00, 90.00 degrees
Space group P4/mbm (No. 127)
Unique sites:
1 Ag 0.000 0.000 0.000
2 As 0.129 0.371 0.000
3 F 0.140 0.640 0.500


total DFT energy (no corrections) of number 2 (MgBeMo2)? -52.07 eV/cell